DFT (GGA-PBE) results for a relaxed structure of KNiBr.

a = 4.4515 Å, b = 4.5227 Å, c = 9.4133 Å
α = 90.00°, β = 90.00°, γ = 90.00°
With the nearest neighbours (Å) after each atom.
Fractional coordinates of all 6 atoms:
K 0.0000 0.0000 0.0000  4 Ni 3.31, 5 Br 3.41-3.46
K 0.5000 0.5000 0.5000  4 Ni 3.31, 5 Br 3.41-3.46
Ni 0.0000 0.0000 0.6019  1 Br 2.20
Ni 0.5000 0.5000 0.1019  1 Br 2.20
Br 0.0000 0.0000 0.3677  1 Ni 2.20
Br 0.5000 0.5000 0.8677  1 Ni 2.20

Output
energy relative to the elements, uncorrected: 0.049 eV per atom
space-group type: Imm2 (44)
final energy: -2.8014 eV/atom
energy above the most stable polymorph in this dataset: 478 meV/atom

***

DFT (GGA-PBE) results for a relaxed structure of KNiBr.

a = 4.8865 Å, b = 4.8865 Å, c = 8.6370 Å
α = 90.00°, β = 90.00°, γ = 90.00°
With the nearest neighbours (Å) after each atom.
Fractional coordinates of all 6 atoms:
K 0.2500 0.2500 0.1934  1 Ni 3.13
K 0.7500 0.7500 0.8066  1 Ni 3.13
Ni 0.2500 0.2500 0.5557  4 Br 2.49
Ni 0.7500 0.7500 0.4443  4 Br 2.49
Br 0.2500 0.7500 0.5000  4 Ni 2.49
Br 0.7500 0.2500 0.5000  4 Ni 2.49

Output
energy relative to the elements, uncorrected: 0.012 eV per atom
space-group type: P4/nmm (129)
final energy: -2.8388 eV/atom
energy above the most stable polymorph in this dataset: 440 meV/atom

***

DFT (GGA-PBE) results for a relaxed structure of KNiBr.

a = 3.5923 Å, b = 5.5549 Å, c = 9.0076 Å
α = 105.16°, β = 101.50°, γ = 90.02°
With the nearest neighbours (Å) after each atom.
Fractional coordinates of all 6 atoms:
K 0.0000 0.0000 0.0000  6 Br 3.30-3.40, 1 Ni 3.43, 2 K 3.59
K 0.2423 0.2808 0.4799  6 Ni 3.16-3.34, 2 Br 3.22-3.24
Ni 0.1415 0.6800 0.2828  2 Ni 2.42, 2 Br 2.44
Ni 0.7370 0.7848 0.4734  2 Ni 2.42, 2 Br 2.48
Br 0.3371 0.8651 0.6740  2 Ni 2.48
Br 0.5462 0.5385 0.0922  2 Ni 2.44

Output
energy relative to the elements, uncorrected: -0.382 eV per atom
space-group type: P1 (1)
final energy: -3.2321 eV/atom
energy above the most stable polymorph in this dataset: 47 meV/atom